The following is a DFT calculation (SCAN) of LuRu2 at its PBEsol-relaxed geometry.

## Properties
Total energy, eV per atom: -42.15
V, Å³ per atom: 16.59
ρ, g/cm³: 12.6
Symmetry: P6_3/mmc
ΔE_f, meV per atom: -489

abc: 5.147 5.147 8.677
angles: 90.00 90.00 120.00
Positions (direct):
Lu 0.333 0.667 0.067
Lu 0.333 0.667 0.433
Lu 0.667 0.333 0.567
Lu 0.667 0.333 0.933
Ru 0.000 0.000 0.000
Ru 0.000 0.000 0.500
Ru 0.171 0.343 0.750
Ru 0.171 0.829 0.750
Ru 0.343 0.171 0.250
Ru 0.657 0.829 0.750
Ru 0.829 0.171 0.250
Ru 0.829 0.657 0.250

=====

The following is a DFT calculation (SCAN) of Lu2Si5Ru3 at its PBEsol-relaxed geometry.

## Properties
Total energy, eV per atom: -27.41
V, Å³ per atom: 15.31
ρ, g/cm³: 8.6
Uncorrected formation energy, eV per atom: -0.89
Symmetry: P4/mnc

abc: 10.573 10.573 5.480
angles: 90.00 90.00 90.00
Positions (direct):
Lu 0.071 0.236 0.000
Lu 0.236 0.929 0.000
Lu 0.264 0.429 0.500
Lu 0.429 0.736 0.500
Lu 0.571 0.264 0.500
Lu 0.736 0.571 0.500
Lu 0.764 0.071 0.000
Lu 0.929 0.764 0.000
Si 0.000 0.000 0.241
Si 0.000 0.000 0.759
Si 0.027 0.319 0.500
Si 0.174 0.674 0.250
Si 0.174 0.674 0.750
Si 0.181 0.473 0.000
Si 0.319 0.973 0.500
Si 0.326 0.174 0.250
Si 0.326 0.174 0.750
Si 0.473 0.819 0.000
Si 0.500 0.500 0.259
Si 0.500 0.500 0.741
Si 0.527 0.181 0.000
Si 0.674 0.826 0.250
Si 0.674 0.826 0.750
Si 0.681 0.027 0.500
Si 0.819 0.527 0.000
Si 0.826 0.326 0.250
Si 0.826 0.326 0.750
Si 0.973 0.681 0.500
Ru 0.000 0.500 0.250
Ru 0.000 0.500 0.750
Ru 0.124 0.856 0.500
Ru 0.144 0.124 0.500
Ru 0.356 0.624 0.000
Ru 0.376 0.356 0.000
Ru 0.500 0.000 0.250
Ru 0.500 0.000 0.750
Ru 0.624 0.644 0.000
Ru 0.644 0.376 0.000
Ru 0.856 0.876 0.500
Ru 0.876 0.144 0.500

=====

The following is a DFT calculation (SCAN) of LuSiRu at its PBEsol-relaxed geometry.

## Properties
Total energy, eV per atom: -34.35
V, Å³ per atom: 16.66
ρ, g/cm³: 10.1
Uncorrected formation energy, eV per atom: -0.96
Symmetry: Pnma

abc: 6.780 4.222 6.985
angles: 90.00 90.00 90.00
Positions (direct):
Lu 0.011 0.250 0.188
Lu 0.489 0.750 0.688
Lu 0.511 0.250 0.312
Lu 0.989 0.750 0.812
Si 0.200 0.250 0.608
Si 0.300 0.750 0.108
Si 0.700 0.250 0.892
Si 0.800 0.750 0.392
Ru 0.156 0.750 0.436
Ru 0.344 0.250 0.936
Ru 0.656 0.750 0.064
Ru 0.844 0.250 0.564

=====

The following is a DFT calculation (SCAN) of SmLuRu2 at its PBEsol-relaxed geometry.

## Properties
Total energy, eV per atom: -42.76
V, Å³ per atom: 18.66
ρ, g/cm³: 11.7
Symmetry: Fm-3m
ΔE_f, meV per atom: -403

abc: 4.726 4.726 4.726
angles: 60.00 60.00 60.00
Positions (direct):
Sm 0.000 0.000 0.000
Lu 0.500 0.500 0.500
Ru 0.250 0.250 0.250
Ru 0.750 0.750 0.750

=====

The following is a DFT calculation (SCAN) of YLuRu2 at its PBEsol-relaxed geometry.

## Properties
Total energy, eV per atom: -38.68
V, Å³ per atom: 18.17
ρ, g/cm³: 10.6
Symmetry: Fm-3m
ΔE_f, meV per atom: -470

abc: 4.685 4.685 4.685
angles: 60.00 60.00 60.00
Positions (direct):
Y 0.000 0.000 0.000
Lu 0.500 0.500 0.500
Ru 0.250 0.250 0.250
Ru 0.750 0.750 0.750

=====

The following is a DFT calculation (SCAN) of Lu2ZnRu at its PBEsol-relaxed geometry.

## Properties
Total energy, eV per atom: -40.31
V, Å³ per atom: 18.67
ρ, g/cm³: 11.5
Symmetry: Fm-3m
ΔE_f, meV per atom: -555

abc: 4.727 4.727 4.727
angles: 60.00 60.00 60.00
Positions (direct):
Lu 0.250 0.250 0.250
Lu 0.750 0.750 0.750
Zn 0.000 0.000 0.000
Ru 0.500 0.500 0.500

=====

The following is a DFT calculation (SCAN) of LuZrRu2 at its PBEsol-relaxed geometry.

## Properties
Total energy, eV per atom: -39.68
V, Å³ per atom: 17.13
ρ, g/cm³: 11.4
Symmetry: Fm-3m
ΔE_f, meV per atom: -756

abc: 4.593 4.593 4.593
angles: 60.00 60.00 60.00
Positions (direct):
Lu 0.000 0.000 0.000
Zr 0.500 0.500 0.500
Ru 0.250 0.250 0.250
Ru 0.750 0.750 0.750

=====

The following is a DFT calculation (SCAN) of Sm4Lu11S22 at its PBEsol-relaxed geometry.

## Properties
Total energy, eV per atom: -29.35
V, Å³ per atom: 21.66
ρ, g/cm³: 6.7
Uncorrected formation energy, eV per atom: -2.37
Symmetry: C2/m

abc: 19.081 19.081 11.054
angles: 91.45 91.45 11.49
Positions (direct):
Sm 0.105 0.105 0.013
Sm 0.368 0.368 0.351
Sm 0.632 0.632 0.649
Sm 0.895 0.895 0.987
Lu 0.000 0.000 0.000
Lu 0.070 0.070 0.359
Lu 0.202 0.202 0.941
Lu 0.265 0.265 0.353
Lu 0.342 0.342 0.699
Lu 0.461 0.461 0.268
Lu 0.539 0.539 0.732
Lu 0.658 0.658 0.301
Lu 0.735 0.735 0.647
Lu 0.798 0.798 0.059
Lu 0.930 0.930 0.641
S 0.008 0.008 0.240
S 0.088 0.088 0.756
S 0.136 0.136 0.453
S 0.169 0.169 0.150
S 0.188 0.188 0.691
S 0.254 0.254 0.121
S 0.280 0.280 0.591
S 0.350 0.350 0.094
S 0.407 0.407 0.789
S 0.443 0.443 0.490
S 0.453 0.453 0.029
S 0.547 0.547 0.971
S 0.557 0.557 0.510
S 0.593 0.593 0.211
S 0.650 0.650 0.906
S 0.720 0.720 0.409
S 0.746 0.746 0.879
S 0.812 0.812 0.309
S 0.831 0.831 0.850
S 0.864 0.864 0.547
S 0.912 0.912 0.244
S 0.992 0.992 0.760

=====

The following is a DFT calculation (SCAN) of Lu2ZnS4 at its PBEsol-relaxed geometry.

## Properties
Total energy, eV per atom: -25.18
V, Å³ per atom: 21.99
ρ, g/cm³: 5.9
Uncorrected formation energy, eV per atom: -1.93
Symmetry: Pnma

abc: 13.096 7.613 6.177
angles: 90.00 90.00 90.00
Positions (direct):
Lu 0.000 0.000 0.000
Lu 0.000 0.500 0.000
Lu 0.236 0.250 0.498
Lu 0.264 0.750 0.998
Lu 0.500 0.000 0.500
Lu 0.500 0.500 0.500
Lu 0.736 0.250 0.002
Lu 0.764 0.750 0.502
Zn 0.092 0.750 0.409
Zn 0.408 0.250 0.909
Zn 0.592 0.750 0.091
Zn 0.908 0.250 0.591
S 0.072 0.250 0.746
S 0.090 0.750 0.776
S 0.169 0.509 0.241
S 0.169 0.991 0.241
S 0.331 0.009 0.741
S 0.331 0.491 0.741
S 0.410 0.250 0.276
S 0.428 0.750 0.246
S 0.572 0.250 0.754
S 0.590 0.750 0.724
S 0.669 0.509 0.259
S 0.669 0.991 0.259
S 0.831 0.009 0.759
S 0.831 0.491 0.759
S 0.910 0.250 0.224
S 0.928 0.750 0.254

=====

The following is a DFT calculation (SCAN) of Lu5Sb3 at its PBEsol-relaxed geometry.

## Properties
Total energy, eV per atom: -49.46
V, Å³ per atom: 25.12
ρ, g/cm³: 10.2
Uncorrected formation energy, eV per atom: -0.89
Symmetry: Pnma

abc: 7.814 9.035 11.386
angles: 90.00 90.00 90.00
Positions (direct):
Lu 0.026 0.250 0.010
Lu 0.146 0.750 0.285
Lu 0.186 0.250 0.280
Lu 0.194 0.062 0.560
Lu 0.194 0.438 0.560
Lu 0.306 0.562 0.060
Lu 0.306 0.938 0.060
Lu 0.314 0.750 0.780
Lu 0.354 0.250 0.785
Lu 0.474 0.750 0.510
Lu 0.526 0.250 0.490
Lu 0.646 0.750 0.215
Lu 0.686 0.250 0.220
Lu 0.694 0.062 0.940
Lu 0.694 0.438 0.940
Lu 0.806 0.562 0.440
Lu 0.806 0.938 0.440
Lu 0.814 0.750 0.720
Lu 0.854 0.250 0.715
Lu 0.974 0.750 0.990
Sb 0.066 0.003 0.826
Sb 0.066 0.497 0.826
Sb 0.091 0.750 0.542
Sb 0.409 0.250 0.042
Sb 0.434 0.503 0.326
Sb 0.434 0.997 0.326
Sb 0.566 0.003 0.674
Sb 0.566 0.497 0.674
Sb 0.591 0.750 0.958
Sb 0.909 0.250 0.458
Sb 0.934 0.503 0.174
Sb 0.934 0.997 0.174

=====

The following is a DFT calculation (SCAN) of LuSb at its PBEsol-relaxed geometry.

## Properties
Total energy, eV per atom: -47.40
V, Å³ per atom: 26.98
ρ, g/cm³: 9.1
Uncorrected formation energy, eV per atom: -1.10
Symmetry: Fm-3m

abc: 4.242 4.242 4.242
angles: 60.00 60.00 60.00
Positions (direct):
Lu 0.000 0.000 0.000
Sb 0.500 0.500 0.500

=====

The following is a DFT calculation (SCAN) of Lu7Sb3 at its PBEsol-relaxed geometry.

## Properties
Total energy, eV per atom: -50.63
V, Å³ per atom: 26.11
ρ, g/cm³: 10.1
Uncorrected formation energy, eV per atom: -0.71
Symmetry: I4/mcm

abc: 11.782 11.782 11.782
angles: 97.86 97.86 136.59
Positions (direct):
Lu 0.018 0.664 0.681
Lu 0.031 0.859 0.500
Lu 0.117 0.123 0.240
Lu 0.123 0.883 0.006
Lu 0.141 0.641 0.172
Lu 0.164 0.518 0.681
Lu 0.250 0.250 0.000
Lu 0.250 0.750 0.500
Lu 0.336 0.018 0.354
Lu 0.359 0.531 0.500
Lu 0.377 0.383 0.760
Lu 0.383 0.623 0.006
Lu 0.469 0.969 0.828
Lu 0.482 0.164 0.646
Lu 0.518 0.836 0.354
Lu 0.531 0.031 0.172
Lu 0.617 0.377 0.994
Lu 0.623 0.617 0.240
Lu 0.641 0.469 0.500
Lu 0.664 0.982 0.646
Lu 0.750 0.250 0.500
Lu 0.750 0.750 0.000
Lu 0.836 0.482 0.319
Lu 0.859 0.359 0.828
Lu 0.877 0.117 0.994
Lu 0.883 0.877 0.760
Lu 0.969 0.141 0.500
Lu 0.982 0.336 0.319
Sb 0.052 0.250 0.802
Sb 0.220 0.720 0.941
Sb 0.250 0.052 0.802
Sb 0.250 0.448 0.198
Sb 0.280 0.220 0.500
Sb 0.448 0.250 0.198
Sb 0.552 0.750 0.802
Sb 0.720 0.780 0.500
Sb 0.750 0.552 0.802
Sb 0.750 0.948 0.198
Sb 0.780 0.280 0.059
Sb 0.948 0.750 0.198

=====

The following is a DFT calculation (SCAN) of LuZrSb at its PBEsol-relaxed geometry.

## Properties
Total energy, eV per atom: -41.91
V, Å³ per atom: 23.52
ρ, g/cm³: 9.1
Uncorrected formation energy, eV per atom: -0.81
Symmetry: I4/mmm

abc: 8.589 8.589 8.589
angles: 151.81 151.81 40.30
Positions (direct):
Lu 0.176 0.176 0.000
Lu 0.824 0.824 0.000
Zr 0.000 0.500 0.500
Zr 0.500 0.000 0.500
Sb 0.364 0.364 0.000
Sb 0.636 0.636 0.000

=====

The following is a DFT calculation (SCAN) of LuSe2 at its PBEsol-relaxed geometry.

## Properties
Total energy, eV per atom: -33.47
V, Å³ per atom: 21.03
ρ, g/cm³: 8.8
Uncorrected formation energy, eV per atom: -1.63
Symmetry: P4/nmm

abc: 3.961 3.961 8.040
angles: 90.00 90.00 90.00
Positions (direct):
Lu 0.250 0.250 0.228
Lu 0.750 0.750 0.772
Se 0.250 0.250 0.871
Se 0.250 0.750 0.500
Se 0.750 0.250 0.500
Se 0.750 0.750 0.129

=====

The following is a DFT calculation (SCAN) of SmLuSe3 at its PBEsol-relaxed geometry.

## Properties
Total energy, eV per atom: -34.12
V, Å³ per atom: 25.17
ρ, g/cm³: 7.4
Uncorrected formation energy, eV per atom: -2.11
Symmetry: P2_1/m

abc: 11.348 4.023 11.663
angles: 90.00 109.00 90.00
Positions (direct):
Sm 0.050 0.250 0.198
Sm 0.320 0.750 0.997
Sm 0.680 0.250 0.003
Sm 0.950 0.750 0.802
Lu 0.157 0.250 0.581
Lu 0.437 0.250 0.337
Lu 0.563 0.750 0.663
Lu 0.843 0.750 0.419
Se 0.083 0.750 0.405
Se 0.113 0.250 0.965
Se 0.190 0.750 0.743
Se 0.262 0.750 0.231
Se 0.393 0.250 0.560
Se 0.489 0.250 0.126
Se 0.511 0.750 0.874
Se 0.607 0.750 0.440
Se 0.738 0.250 0.769
Se 0.810 0.250 0.257
Se 0.887 0.750 0.035
Se 0.917 0.250 0.595

=====

The following is a DFT calculation (SCAN) of LuTlSe2 at its PBEsol-relaxed geometry.

## Properties
Total energy, eV per atom: -43.47
V, Å³ per atom: 26.67
ρ, g/cm³: 8.4
Uncorrected formation energy, eV per atom: -1.51
Symmetry: R-3m

abc: 7.967 7.967 7.967
angles: 29.22 29.22 29.22
Positions (direct):
Lu 0.000 0.000 0.000
Tl 0.500 0.500 0.500
Se 0.265 0.265 0.265
Se 0.735 0.735 0.735

=====

The following is a DFT calculation (SCAN) of LuTiSi at its PBEsol-relaxed geometry.

## Properties
Total energy, eV per atom: -27.84
V, Å³ per atom: 18.93
ρ, g/cm³: 7.3
Uncorrected formation energy, eV per atom: -0.71
Symmetry: P4/nmm

abc: 3.935 3.935 7.335
angles: 90.00 90.00 90.00
Positions (direct):
Lu 0.250 0.250 0.156
Lu 0.750 0.750 0.844
Ti 0.250 0.750 0.500
Ti 0.750 0.250 0.500
Si 0.250 0.250 0.747
Si 0.750 0.750 0.253

=====

The following is a DFT calculation (SCAN) of Sm3Lu at its PBEsol-relaxed geometry.

## Properties
Total energy, eV per atom: -47.15
V, Å³ per atom: 30.80
ρ, g/cm³: 8.4
Symmetry: P6_3/mmc
ΔE_f, meV per atom: 17

abc: 7.111 7.111 5.627
angles: 90.00 90.00 120.00
Positions (direct):
Sm 0.167 0.335 0.250
Sm 0.167 0.833 0.250
Sm 0.335 0.167 0.750
Sm 0.665 0.833 0.250
Sm 0.833 0.167 0.750
Sm 0.833 0.665 0.750
Lu 0.333 0.667 0.750
Lu 0.667 0.333 0.250